# Mo2IO PBE+U optimized geometry
data_Mo2IO
_chemical_formula_sum 'Mo8 I4 O4'
_symmetry_space_group_name_H-M 'P 1'
_symmetry_Int_Tables_number 1
_cell_length_a 6.086
_cell_length_b 6.086
_cell_length_c 11.980
_cell_angle_alpha 90.00
_cell_angle_beta 90.00
_cell_angle_gamma 90.00
loop_
_symmetry_equiv_pos_as_xyz
'x,y,z'
loop_
_atom_site_label
_atom_site_type_symbol
_atom_site_fract_x
_atom_site_fract_y
_atom_site_fract_z
_atom_site_occupancy
Mo1 Mo 0.073 0.250 0.125 1
Mo2 Mo 0.250 0.573 0.375 1
Mo3 Mo 0.250 0.927 0.875 1
Mo4 Mo 0.427 0.250 0.625 1
Mo5 Mo 0.573 0.750 0.625 1
Mo6 Mo 0.750 0.073 0.875 1
Mo7 Mo 0.750 0.427 0.375 1
Mo8 Mo 0.927 0.750 0.125 1
I1 I 0.000 0.000 0.500 1
I2 I 0.000 0.500 0.750 1
I3 I 0.500 0.000 0.250 1
I4 I 0.500 0.500 0.000 1
O1 O 0.000 0.000 0.000 1
O2 O 0.000 0.500 0.250 1
O3 O 0.500 0.000 0.750 1
O4 O 0.500 0.500 0.500 1
# Raw total energy   -5.077 eV per atom
# Distance to the lowest polymorph of the same formula   0.000 eV/f.u.